## a
Computed, not measured: a geometry-optimized CsPt2Au structure at the PBE-GGA level of DFT.

Properties
As for the space group: No. 225.

Cell lengths 4.9595, 4.9595, 4.9595 Å; angles 60.00, 60.00, 60.00 degrees
Last column: nearest neighbours and their distance in Å.
Atoms (fractional coordinates):
Cs1 0.0000 0.0000 0.0000  8 Pt 3.04
Pt1 0.2500 0.2500 0.2500  4 Au 3.04, 4 Cs 3.04
Pt2 0.7500 0.7500 0.7500  4 Au 3.04, 4 Cs 3.04
Au1 0.5000 0.5000 0.5000  8 Pt 3.04



## b
Computed, not measured: a geometry-optimized CsPt2Au structure at the PBE-GGA level of DFT.

Properties
As for the space group: No. 122.

Cell lengths 9.9382, 9.9382, 9.9382 Å; angles 150.28, 150.28, 42.54 degrees
Last column: nearest neighbours and their distance in Å.
Atoms (fractional coordinates):
Cs1 0.0000 0.0000 0.0000  8 Pt 3.50-3.85, 4 Au 3.60
Cs2 0.7500 0.2500 0.5000  8 Pt 3.50-3.85, 4 Au 3.60
Pt1 0.3265 0.6250 0.2015  2 Pt 2.60, 2 Au 2.65
Pt2 0.3750 0.5765 0.7015  2 Pt 2.60, 2 Au 2.65
Pt3 0.4235 0.1250 0.7985  2 Pt 2.60, 2 Au 2.65
Pt4 0.8750 0.6735 0.2985  2 Pt 2.60, 2 Au 2.65
Au1 0.2500 0.7500 0.5000  4 Pt 2.65
Au2 0.5000 0.5000 0.0000  4 Pt 2.65



Stability ranking, top and bottom: b is the most stable and a is the least stable.



## a
Computed, not measured: a geometry-optimized CsPt2Au2 structure at the PBE-GGA level of DFT.

Properties
As for the space group: No. 139.

Cell lengths 7.1039, 7.1039, 7.1039 Å; angles 145.12, 145.12, 50.15 degrees
Last column: nearest neighbours and their distance in Å.
Atoms (fractional coordinates):
Cs1 0.0000 0.0000 0.0000  8 Au 3.34
Pt1 0.2500 0.7500 0.5000  4 Au 2.77, 4 Pt 3.01
Pt2 0.7500 0.2500 0.5000  4 Au 2.77, 4 Pt 3.01
Au1 0.3882 0.3882 0.0000  4 Pt 2.77, 1 Au 2.88
Au2 0.6118 0.6118 0.0000  4 Pt 2.77, 1 Au 2.88



## b
Computed, not measured: a geometry-optimized CsPt2Au2 structure at the PBE-GGA level of DFT.

Properties
As for the space group: No. 127.

Cell lengths 8.4830, 8.4830, 2.9766 Å; angles 90.00, 90.00, 90.00 degrees
Last column: nearest neighbours and their distance in Å.
Atoms (fractional coordinates):
Cs1 0.0000 0.0000 0.0000  2 Cs 2.98, 4 Au 3.33
Cs2 0.5000 0.5000 0.0000  2 Cs 2.98, 4 Au 3.33
Pt1 0.1653 0.3347 0.5000  6 Au 2.88-2.92, 2 Pt 2.98
Pt2 0.3347 0.8347 0.5000  6 Au 2.88-2.92, 2 Pt 2.98
Pt3 0.6653 0.1653 0.5000  6 Au 2.88-2.92, 2 Pt 2.98
Pt4 0.8347 0.6653 0.5000  6 Au 2.88-2.92, 2 Pt 2.98
Au1 0.1287 0.6287 0.0000  6 Pt 2.88-2.92, 3 Au 2.98-3.09
Au2 0.3713 0.1287 0.0000  6 Pt 2.88-2.92, 3 Au 2.98-3.09
Au3 0.6287 0.8713 0.0000  6 Pt 2.88-2.92, 3 Au 2.98-3.09
Au4 0.8713 0.3713 0.0000  6 Pt 2.88-2.92, 3 Au 2.98-3.09



## c
Computed, not measured: a geometry-optimized CsPt2Au2 structure at the PBE-GGA level of DFT.

Properties
As for the space group: No. 139.

Cell lengths 6.2962, 6.2962, 6.2962 Å; angles 135.35, 135.35, 64.99 degrees
Last column: nearest neighbours and their distance in Å.
Atoms (fractional coordinates):
Cs1 0.0000 0.0000 0.0000  8 Au 3.57, 8 Pt 3.62
Pt1 0.3794 0.3794 0.0000  1 Pt 2.56, 4 Au 2.76
Pt2 0.6206 0.6206 0.0000  1 Pt 2.56, 4 Au 2.76
Au1 0.2500 0.7500 0.5000  4 Pt 2.76
Au2 0.7500 0.2500 0.5000  4 Pt 2.76



## d
Computed, not measured: a geometry-optimized CsPt2Au2 structure at the PBE-GGA level of DFT.

Properties
As for the space group: No. 127.

Cell lengths 8.3748, 8.3748, 3.0454 Å; angles 90.00, 90.00, 90.00 degrees
Last column: nearest neighbours and their distance in Å.
Atoms (fractional coordinates):
Cs1 0.0000 0.0000 0.0000  2 Cs 3.05, 4 Pt 3.36
Cs2 0.5000 0.5000 0.0000  2 Cs 3.05, 4 Pt 3.36
Pt1 0.1153 0.3847 0.0000  3 Pt 2.73-3.05, 6 Au 2.87-2.95
Pt2 0.3847 0.8847 0.0000  3 Pt 2.73-3.05, 6 Au 2.87-2.95
Pt3 0.6153 0.1153 0.0000  3 Pt 2.73-3.05, 6 Au 2.87-2.95
Pt4 0.8847 0.6153 0.0000  3 Pt 2.73-3.05, 6 Au 2.87-2.95
Au1 0.1794 0.6794 0.5000  6 Pt 2.87-2.95, 2 Au 3.05
Au2 0.3206 0.1794 0.5000  6 Pt 2.87-2.95, 2 Au 3.05
Au3 0.6794 0.8206 0.5000  6 Pt 2.87-2.95, 2 Au 3.05
Au4 0.8206 0.3206 0.5000  6 Pt 2.87-2.95, 2 Au 3.05



Stability ranking, top and bottom: d is the most stable and a is the least stable.



## a
Computed, not measured: a geometry-optimized Cs2RbPtAu structure at the PBE-GGA level of DFT.

Properties
As for the space group: No. 123.

Cell lengths 6.5653, 6.5653, 6.3478 Å; angles 90.00, 90.00, 90.00 degrees
Last column: nearest neighbours and their distance in Å.
Atoms (fractional coordinates):
Cs1 0.0000 0.5000 0.0000  2 Pt 3.28
Cs2 0.5000 0.0000 0.0000  2 Pt 3.28
Rb1 0.0000 0.0000 0.5000  2 Pt 3.17
Pt1 0.0000 0.0000 0.0000  2 Rb 3.17, 4 Cs 3.28
Au1 0.5000 0.5000 0.5000  8 Cs 4.57, 4 Rb 4.64



## b
Computed, not measured: a geometry-optimized Cs2RbPtAu structure at the PBE-GGA level of DFT.

Properties
As for the space group: No. 123.

Cell lengths 6.5306, 6.5306, 5.4004 Å; angles 90.00, 90.00, 90.00 degrees
Last column: nearest neighbours and their distance in Å.
Atoms (fractional coordinates):
Cs1 0.0000 0.5000 0.0000  2 Pt 3.27
Cs2 0.5000 0.0000 0.0000  2 Pt 3.27
Rb1 0.0000 0.0000 0.5000  8 Cs 4.24, 4 Au 4.62
Pt1 0.5000 0.5000 0.0000  2 Au 2.70
Au1 0.5000 0.5000 0.5000  2 Pt 2.70



Stability ranking, top and bottom: a is the most stable and b is the least stable.



## a
Computed, not measured: a geometry-optimized CsTl2PtAu structure at the PBE-GGA level of DFT.

Properties
As for the space group: No. 123.

Cell lengths 5.3259, 5.3259, 6.6412 Å; angles 90.00, 90.00, 90.00 degrees
Last column: nearest neighbours and their distance in Å.
Atoms (fractional coordinates):
Cs1 0.0000 0.0000 0.0000  2 Pt 3.32
Tl1 0.0000 0.5000 0.5000  2 Pt 2.66
Tl2 0.5000 0.0000 0.5000  2 Pt 2.66
Pt1 0.0000 0.0000 0.5000  4 Tl 2.66
Au1 0.5000 0.5000 0.0000  4 Cs 3.77



## b
Computed, not measured: a geometry-optimized CsTl2PtAu structure at the PBE-GGA level of DFT.

Properties
As for the space group: No. 123.

Cell lengths 5.3345, 5.3345, 5.5850 Å; angles 90.00, 90.00, 90.00 degrees
Last column: nearest neighbours and their distance in Å.
Atoms (fractional coordinates):
Cs1 0.0000 0.0000 0.0000  4 Au 3.77, 8 Tl 3.86
Tl1 0.0000 0.5000 0.5000  2 Pt 2.67
Tl2 0.5000 0.0000 0.5000  2 Pt 2.67
Pt1 0.5000 0.5000 0.5000  4 Tl 2.67, 2 Au 2.79
Au1 0.5000 0.5000 0.0000  2 Pt 2.79



Stability ranking, top and bottom: b is the most stable and a is the least stable.